Computed, not measured: NbCrSi after structural relaxation at the GGA-PBE level of DFT.

Output
- Fermi-level density of states (states/eV per cell) = 4.75
- raw formation energy (eV/atom) = -0.52
- E (eV/atom) = -8.89
- V (Å³/atom) = 14.1

a b c (Å): 6.6535 6.6535 3.3163
angles (deg): 90.00 90.00 120.00
Space group P-62m (No. 189)
Inequivalent atoms, fractional coordinates:
Nb (0.0000, 0.5956, 0.0000) [3 per cell]
Cr (0.0000, 0.2536, 0.5000) [3 per cell]
Si (0.0000, 0.0000, 0.0000) [1 per cell]
Si (0.3333, 0.6667, 0.5000) [2 per cell]



Computed, not measured: Nb3CrSi after structural relaxation at the GGA-PBE level of DFT.

Output
- Fermi-level density of states (states/eV per cell) = 2.76
- raw formation energy (eV/atom) = 0.85
- E (eV/atom) = -8.20
- excess energy over the best structure of this formula in the dataset (meV per atom) = 0
- V (Å³/atom) = 19.1

a b c (Å): 4.5715 4.5715 4.5715
angles (deg): 90.00 90.00 90.00
Space group Pm-3m (No. 221)
Inequivalent atoms, fractional coordinates:
Nb (0.0000, 0.0000, 0.5000) [3 per cell]
Cr (0.0000, 0.0000, 0.0000) [1 per cell]
Si (0.5000, 0.5000, 0.5000) [1 per cell]



Computed, not measured: NbCrSi after structural relaxation at the GGA-PBE level of DFT.

Output
- Fermi-level density of states (states/eV per cell) = 11.57
- raw formation energy (eV/atom) = -0.44
- E (eV/atom) = -8.81
- V (Å³/atom) = 14.6

a b c (Å): 3.5906 3.5906 13.5513
angles (deg): 90.00 90.00 90.00
Space group I4/mmm (No. 139)
Inequivalent atoms, fractional coordinates:
Nb (0.0000, 0.0000, 0.1750) [4 per cell]
Cr (0.0000, 0.5000, 0.0000) [4 per cell]
Si (0.0000, 0.0000, 0.3730) [4 per cell]



Computed, not measured: NbCr3Si after structural relaxation at the GGA-PBE level of DFT.

Output
- Fermi-level density of states (states/eV per cell) = 5.17
- raw formation energy (eV/atom) = 1.72
- E (eV/atom) = -7.15
- excess energy over the best structure of this formula in the dataset (meV per atom) = 915
- V (Å³/atom) = 20.3

a b c (Å): 4.6678 4.6678 4.6678
angles (deg): 90.00 90.00 90.00
Space group Pm-3m (No. 221)
Inequivalent atoms, fractional coordinates:
Nb (0.0000, 0.0000, 0.0000) [1 per cell]
Cr (0.0000, 0.0000, 0.5000) [3 per cell]
Si (0.5000, 0.5000, 0.5000) [1 per cell]



Computed, not measured: NbCrSi after structural relaxation at the GGA-PBE level of DFT.

Output
- Fermi-level density of states (states/eV per cell) = 8.38
- raw formation energy (eV/atom) = -0.37
- E (eV/atom) = -8.74
- V (Å³/atom) = 14.3

a b c (Å): 9.5218 3.3293 6.5785
angles (deg): 90.00 124.57 90.00
Space group C2/m (No. 12)
Inequivalent atoms, fractional coordinates:
Nb (0.0703, 0.0000, 0.3126) [4 per cell]
Cr (0.1658, 0.5000, 0.0619) [4 per cell]
Si (0.1455, 0.5000, 0.6765) [4 per cell]



Computed, not measured: NbCrSi after structural relaxation at the GGA-PBE level of DFT.

Output
- Fermi-level density of states (states/eV per cell) = 9.83
- raw formation energy (eV/atom) = -0.25
- E (eV/atom) = -8.62
- V (Å³/atom) = 14.6

a b c (Å): 9.2263 3.2362 6.0286
angles (deg): 90.00 103.03 90.00
Space group Cm (No. 8)
Inequivalent atoms, fractional coordinates:
Nb (0.0000, 0.0000, 0.0000) [2 per cell]
Nb (0.2191, 0.5000, 0.3326) [2 per cell]
Cr (0.0585, 0.0000, 0.5564) [2 per cell]
Cr (0.3665, 0.0000, 0.6664) [2 per cell]
Si (0.1984, 0.5000, 0.8411) [2 per cell]
Si (0.4254, 0.0000, 0.2865) [2 per cell]



Computed, not measured: NbCrSi after structural relaxation at the GGA-PBE level of DFT.

Output
- Fermi-level density of states (states/eV per cell) = 9.74
- raw formation energy (eV/atom) = -0.19
- E (eV/atom) = -8.56
- V (Å³/atom) = 14.6

a b c (Å): 3.4654 6.5669 7.7244
angles (deg): 90.00 90.00 90.00
Space group Imm2 (No. 44)
Inequivalent atoms, fractional coordinates:
Nb (0.0000, 0.0000, 0.0000) [2 per cell]
Nb (0.0000, 0.5000, 0.1575) [2 per cell]
Cr (0.0000, 0.1595, 0.4128) [4 per cell]
Si (0.0000, 0.2936, 0.7083) [4 per cell]



Computed, not measured: NbCrSi after structural relaxation at the GGA-PBE level of DFT.

Output
- Fermi-level density of states (states/eV per cell) = 3.83
- raw formation energy (eV/atom) = -0.20
- E (eV/atom) = -8.57
- V (Å³/atom) = 14.4

a b c (Å): 2.7307 4.9570 6.6603
angles (deg): 83.50 82.28 76.69
Space group P-1 (No. 2)
Inequivalent atoms, fractional coordinates:
Nb (0.1735, 0.2529, 0.3529) [2 per cell]
Cr (0.0000, 0.0000, 0.0000) [1 per cell]
Cr (0.5000, 0.5000, 0.0000) [1 per cell]
Si (0.4575, 0.2600, 0.7165) [2 per cell]